[1]
# PBE-GGA MnFePdCl2, optimized geometry
# * uncorrected formation energy: 0.713 eV per atom
# * uncorrected energy: -4.5908 eV/atom
data_MnFePdCl2
_chemical_formula_sum 'Mn1 Fe1 Pd1 Cl2'
_symmetry_space_group_name_H-M 'P 1'
_symmetry_Int_Tables_number 1
_cell_length_a 4.8424
_cell_length_b 5.0946
_cell_length_c 4.8424
_cell_angle_alpha 90.00
_cell_angle_beta 90.00
_cell_angle_gamma 90.00
loop_
_symmetry_equiv_pos_as_xyz
'x,y,z'
loop_
_atom_site_label
_atom_site_fract_x
_atom_site_fract_y
_atom_site_fract_z
Fe1 0.5000 0.5000 0.5000
Cl1 0.0000 0.0000 0.5000
Mn1 0.0000 0.5000 0.0000
Cl2 0.5000 0.0000 0.0000
Pd1 0.0000 0.0000 0.0000

---

[2]
# PBE-GGA ScRu2I2, optimized geometry
# * uncorrected formation energy: 0.574 eV per atom
# * offset from the most stable computed form: 0 meV per atom
# * uncorrected energy: -5.0227 eV/atom
data_ScRu2I2
_chemical_formula_sum 'Sc1 Ru2 I2'
_symmetry_space_group_name_H-M 'P 1'
_symmetry_Int_Tables_number 1
_cell_length_a 4.1583
_cell_length_b 4.1583
_cell_length_c 6.9841
_cell_angle_alpha 72.68
_cell_angle_beta 72.68
_cell_angle_gamma 90.00
loop_
_symmetry_equiv_pos_as_xyz
'x,y,z'
loop_
_atom_site_label
_atom_site_fract_x
_atom_site_fract_y
_atom_site_fract_z
Sc1 0.0000 0.0000 0.0000
Ru1 0.7500 0.2500 0.5000
I1 0.3739 0.3739 0.2523
Ru2 0.2500 0.7500 0.5000
I2 0.6261 0.6261 0.7477

---

[3]
# PBE-GGA GePd8Se2, optimized geometry
# * uncorrected formation energy: -0.203 eV per atom
# * uncorrected energy: -5.0334 eV/atom
data_GePd8Se2
_chemical_formula_sum 'Ge1 Pd8 Se2'
_symmetry_space_group_name_H-M 'P 1'
_symmetry_Int_Tables_number 1
_cell_length_a 4.0032
_cell_length_b 7.3764
_cell_length_c 7.3948
_cell_angle_alpha 119.92
_cell_angle_beta 105.70
_cell_angle_gamma 90.00
loop_
_symmetry_equiv_pos_as_xyz
'x,y,z'
loop_
_atom_site_label
_atom_site_fract_x
_atom_site_fract_y
_atom_site_fract_z
Pd1 0.1275 0.1275 0.2550
Pd2 0.0000 0.6900 0.0000
Se1 0.1739 0.6739 0.3477
Pd3 0.6669 0.4404 0.3337
Se2 0.8261 0.3261 0.6523
Ge1 0.5000 0.0000 0.0000
Pd4 0.3331 0.5596 0.6663
Pd5 0.8725 0.8725 0.7450
Pd6 0.6669 0.8933 0.3337
Pd7 0.3331 0.1067 0.6663
Pd8 0.0000 0.3100 0.0000

---

[4]
# PBE-GGA Ca2DySi3Pt4, optimized geometry
# * uncorrected formation energy: -0.970 eV per atom
# * uncorrected energy: -5.8742 eV/atom
data_Ca2DySi3Pt4
_chemical_formula_sum 'Ca2 Dy1 Si3 Pt4'
_symmetry_space_group_name_H-M 'P 1'
_symmetry_Int_Tables_number 1
_cell_length_a 4.2740
_cell_length_b 4.2740
_cell_length_c 10.7057
_cell_angle_alpha 90.00
_cell_angle_beta 90.00
_cell_angle_gamma 90.00
loop_
_symmetry_equiv_pos_as_xyz
'x,y,z'
loop_
_atom_site_label
_atom_site_fract_x
_atom_site_fract_y
_atom_site_fract_z
Pt1 0.5000 0.5000 0.0000
Pt2 0.0000 0.5000 0.3368
Pt3 0.5000 0.0000 0.6632
Ca1 0.5000 0.0000 0.2296
Si1 0.0000 0.0000 0.5000
Si2 0.0000 0.5000 0.1164
Ca2 0.0000 0.5000 0.7704
Pt4 0.0000 0.0000 0.0000
Dy1 0.5000 0.5000 0.5000
Si3 0.5000 0.0000 0.8836

---

[5]
# PBE-GGA K2In12Au, optimized geometry
# * uncorrected energy: -2.6606 eV/atom
# * calculated formation energy: -0.1050 eV per atom
data_K2In12Au
_chemical_formula_sum 'K4 In24 Au2'
_symmetry_space_group_name_H-M 'P 1'
_symmetry_Int_Tables_number 1
_cell_length_a 6.9264
_cell_length_b 6.9264
_cell_length_c 18.2848
_cell_angle_alpha 90.00
_cell_angle_beta 90.00
_cell_angle_gamma 90.00
loop_
_symmetry_equiv_pos_as_xyz
'x,y,z'
loop_
_atom_site_label
_atom_site_fract_x
_atom_site_fract_y
_atom_site_fract_z
In1 0.0000 0.0000 0.8172
In2 0.5000 0.5000 0.3429
In3 0.0000 0.0000 0.3429
K1 0.0000 0.5000 0.7496
In4 0.7501 0.2501 0.9135
In5 0.5000 0.5000 0.1828
In6 0.5000 0.5000 0.6571
In7 0.2499 0.7499 0.9135
In8 0.5000 0.5000 0.8172
In9 0.1668 0.6668 0.5680
K2 0.5000 0.0000 0.7496
K3 0.0000 0.5000 0.2504
In10 0.1668 0.3332 0.4320
In11 0.8332 0.6668 0.4320
In12 0.7499 0.7501 0.9135
In13 0.2501 0.2499 0.9135
In14 0.0000 0.0000 0.6571
In15 0.2499 0.2501 0.0865
In16 0.0000 0.0000 0.1828
In17 0.6668 0.1668 0.4320
Au1 0.5000 0.0000 0.0000
In18 0.2501 0.7501 0.0865
In19 0.7501 0.7499 0.0865
In20 0.6668 0.8332 0.5680
In21 0.7499 0.2499 0.0865
In22 0.8332 0.3332 0.5680
In23 0.3332 0.8332 0.4320
K4 0.5000 0.0000 0.2504
In24 0.3332 0.1668 0.5680
Au2 0.0000 0.5000 0.0000

---

[6]
# PBE-GGA Ni2AsRh, optimized geometry
# * uncorrected energy: -5.9649 eV/atom
# * calculated formation energy: -0.0740 eV per atom
data_Ni2AsRh
_chemical_formula_sum 'Ni2 As1 Rh1'
_symmetry_space_group_name_H-M 'P 1'
_symmetry_Int_Tables_number 1
_cell_length_a 3.0808
_cell_length_b 3.0970
_cell_length_c 5.3788
_cell_angle_alpha 90.00
_cell_angle_beta 90.00
_cell_angle_gamma 90.00
loop_
_symmetry_equiv_pos_as_xyz
'x,y,z'
loop_
_atom_site_label
_atom_site_fract_x
_atom_site_fract_y
_atom_site_fract_z
Rh1 0.0000 0.0000 0.5005
Ni1 0.0000 0.0000 0.0064
As1 0.5000 0.5000 0.7699
Ni2 0.5000 0.5000 0.2231

---

[7]
# PBE-GGA NdCdOs, optimized geometry
# * uncorrected energy: -5.6955 eV/atom
# * calculated formation energy: -0.0580 eV per atom
data_NdCdOs
_chemical_formula_sum 'Nd2 Cd2 Os2'
_symmetry_space_group_name_H-M 'P 1'
_symmetry_Int_Tables_number 1
_cell_length_a 4.2765
_cell_length_b 5.3009
_cell_length_c 7.0753
_cell_angle_alpha 103.09
_cell_angle_beta 107.59
_cell_angle_gamma 90.00
loop_
_symmetry_equiv_pos_as_xyz
'x,y,z'
loop_
_atom_site_label
_atom_site_fract_x
_atom_site_fract_y
_atom_site_fract_z
Cd1 0.5698 0.7785 0.1396
Os1 0.7722 0.1021 0.5444
Os2 0.2278 0.8979 0.4556
Cd2 0.4302 0.2215 0.8604
Nd1 0.1262 0.3234 0.2524
Nd2 0.8738 0.6766 0.7476

---

[8]
# PBE-GGA NdDyNi2, optimized geometry
# * offset from the most stable computed form: 83 meV per atom
# * uncorrected energy: -5.5331 eV/atom
# * calculated formation energy: -0.3000 eV per atom
data_NdDyNi2
_chemical_formula_sum 'Nd1 Dy1 Ni2'
_symmetry_space_group_name_H-M 'P 1'
_symmetry_Int_Tables_number 1
_cell_length_a 3.4308
_cell_length_b 3.4308
_cell_length_c 6.8754
_cell_angle_alpha 90.00
_cell_angle_beta 90.00
_cell_angle_gamma 90.00
loop_
_symmetry_equiv_pos_as_xyz
'x,y,z'
loop_
_atom_site_label
_atom_site_fract_x
_atom_site_fract_y
_atom_site_fract_z
Ni1 0.0000 0.0000 0.7670
Dy1 0.5000 0.5000 0.0000
Ni2 0.0000 0.0000 0.2330
Nd1 0.5000 0.5000 0.5000

---

Question: What is the formula in the fifth record?
Answer: K2In12Au